CaHfIO6: relaxed, PBE.

Lattice parameters (Å, degrees): 5.4561 5.4561 10.0579 90.00 90.00 120.00
Last column: nearest neighbours and their distance in Å.
Space group P-31c (No. 163)
One atom of each set of equivalent atoms:
Ca1 0.0000 0.0000 0.0000 x2  6 O 2.45
Hf1 0.3333 0.6667 0.2500 x2  6 O 2.10
I1 0.3333 0.6667 0.7500 x2  6 O 2.02
O1 0.0112 0.3727 0.6400 x12  1 I 2.02, 1 Hf 2.10

Calculated values
DOS(E_F) = 7.19 states/eV/cell
DFT total energy = -6.7599 eV per atom

BaLiPtF6: relaxed, PBE.

Lattice parameters (Å, degrees): 5.5001 5.5001 5.6712 90.00 90.00 120.00
Last column: nearest neighbours and their distance in Å.
Space group P312 (No. 149)
One atom of each set of equivalent atoms:
Ba1 0.0000 0.0000 0.0000 x1  6 F 2.63
Li1 0.3333 0.6667 0.5000 x1  6 F 2.10
Pt1 0.6667 0.3333 0.5000 x1  6 F 2.09
F1 0.9996 0.3677 0.7043 x6  1 Pt 2.09, 1 Li 2.10

Calculated values
DOS(E_F) = 6.28 states/eV/cell
DFT total energy = -4.7854 eV per atom

Values of formation energy from raw total energies, in order: -1954, -2440, all in meV per atom.